Record 1
First-principles (PBE) data for a relaxed PrCuSn crystal, as listed in Alexandria.

## Properties
- Raw total energy: -4.875 eV per atom
- Density: 7.34 g/cm³

Cell and atoms, written as CIF:
```
data_PrCuSn
_cell_length_a 4.587
_cell_length_b 4.587
_cell_length_c 6.951
_cell_angle_alpha 90.00
_cell_angle_beta 90.00
_cell_angle_gamma 90.00
_symmetry_space_group_name_H-M 'P 4/n m m'
_symmetry_Int_Tables_number 129
loop_
_symmetry_equiv_pos_as_xyz
'x,y,z'
'-x,-y,-z'
'-y+1/2,x,z'
'y+1/2,-x,-z'
'-x+1/2,-y+1/2,z'
'x+1/2,y+1/2,-z'
'y,-x+1/2,z'
'-y,x+1/2,-z'
'x+1/2,-y,-z'
'-x+1/2,y,z'
'-y,-x,-z'
'y,x,z'
'-x,y+1/2,-z'
'x,-y+1/2,z'
'y+1/2,x+1/2,-z'
'-y+1/2,-x+1/2,z'
loop_
_atom_site_label
_atom_site_type_symbol
_atom_site_fract_x
_atom_site_fract_y
_atom_site_fract_z
_atom_site_occupancy
Pr1 Pr 0.250 0.250 0.207 1
Cu1 Cu 0.250 0.750 0.500 1
Sn1 Sn 0.250 0.250 0.723 1
```


Record 2
First-principles (PBE) data for a relaxed Tl2In6GaHg crystal, as listed in Alexandria.

## Properties
- Raw total energy: -2.386 eV per atom
- Density: 8.06 g/cm³

Cell and atoms, written as CIF:
```
data_Tl2In6GaHg
_cell_length_a 6.928
_cell_length_b 8.559
_cell_length_c 11.746
_cell_angle_alpha 90.00
_cell_angle_beta 125.96
_cell_angle_gamma 90.00
_symmetry_space_group_name_H-M 'P 1 21/c 1'
_symmetry_Int_Tables_number 14
loop_
_symmetry_equiv_pos_as_xyz
'x,y,z'
'-x,-y,-z'
'-x,y+1/2,-z+1/2'
'x,-y+1/2,z+1/2'
loop_
_atom_site_label
_atom_site_type_symbol
_atom_site_fract_x
_atom_site_fract_y
_atom_site_fract_z
_atom_site_occupancy
Tl1 Tl 0.010 0.116 0.241 1
In1 In 0.134 0.157 0.006 1
In2 In 0.412 0.663 0.010 1
In3 In 0.461 0.610 0.743 1
Ga1 Ga 0.500 0.000 0.000 1
Hg1 Hg 0.000 0.000 0.500 1
```


Record 3
First-principles (PBE) data for a relaxed ScP2AuS crystal, as listed in Alexandria.

## Properties
- Raw total energy: -4.448 eV per atom
- Density: 4.74 g/cm³
- Raw formation energy: 464 meV per atom
- Energy above the most stable polymorph in this dataset: 0.012 eV/atom

Cell and atoms, written as CIF:
```
data_ScP2AuS
_cell_length_a 4.970
_cell_length_b 4.970
_cell_length_c 4.768
_cell_angle_alpha 90.00
_cell_angle_beta 90.00
_cell_angle_gamma 90.00
_symmetry_space_group_name_H-M 'P 4/m m m'
_symmetry_Int_Tables_number 123
_symmetry_space_group_name_Hall '-P 4 2'
loop_
_atom_site_label
_atom_site_type_symbol
_atom_site_fract_x
_atom_site_fract_y
_atom_site_fract_z
_atom_site_occupancy
Sc1 Sc 0.000 0.000 0.000 1
P1 P 0.000 0.500 0.000 1
Au1 Au 0.500 0.500 0.500 1
S1 S 0.000 0.000 0.500 1
```


Record 4
First-principles (PBE) data for a relaxed GdErZnTc crystal, as listed in Alexandria.

## Properties
- Raw total energy: -7.715 eV per atom
- Density: 9.59 g/cm³

Cell and atoms, written as CIF:
```
data_GdErZnTc
_cell_length_a 6.965
_cell_length_b 6.965
_cell_length_c 6.965
_cell_angle_alpha 90.00
_cell_angle_beta 90.00
_cell_angle_gamma 90.00
_symmetry_space_group_name_H-M 'F -4 3 m'
_symmetry_Int_Tables_number 216
_symmetry_space_group_name_Hall 'F -4 2 3'
loop_
_atom_site_label
_atom_site_type_symbol
_atom_site_fract_x
_atom_site_fract_y
_atom_site_fract_z
_atom_site_occupancy
Gd1 Gd 0.000 0.000 0.000 1
Er1 Er 0.000 0.000 0.500 1
Zn1 Zn 0.250 0.250 0.750 1
Tc1 Tc 0.250 0.250 0.250 1
```